DFT (PBE) results for PrSnRh4 after structural relaxation.

Computed properties:
Fermi-level density of states: 5.3 states/eV per cell
Energy above the lowest structure with this stoichiometry: 0 meV/atom
ΔE_f: -0.43 eV per atom

Cell lengths 5.3540, 5.3540, 5.3540 Å; angles 60.00, 60.00, 60.00 degrees
Fractional positions:
1 Pr 0.0000 0.0000 0.0000
2 Sn 0.7500 0.7500 0.7500
3 Rh 0.3761 0.3761 0.3761
4 Rh 0.3761 0.3761 0.8716
5 Rh 0.3761 0.8716 0.3761
6 Rh 0.8716 0.3761 0.3761



DFT (PBE) results for U3Fe3B8 after structural relaxation.

Computed properties:
Fermi-level density of states: 12.3 states/eV per cell
ΔE_f: -0.21 eV per atom

Cell lengths 6.9001, 6.9001, 6.9001 Å; angles 153.06, 97.77, 88.47 degrees
Fractional positions:
1 U 0.0000 0.0000 0.0000
2 U 0.2870 0.2870 0.0000
3 U 0.7130 0.7130 0.0000
4 Fe 0.2940 0.5000 0.7940
5 Fe 0.5000 0.0000 0.5000
6 Fe 0.7060 0.5000 0.2060
7 B 0.0140 0.3261 0.6879
8 B 0.1344 0.8620 0.2724
9 B 0.3618 0.6739 0.6879
10 B 0.4103 0.1380 0.2724
11 B 0.5897 0.8620 0.7276
12 B 0.6382 0.3261 0.3121
13 B 0.8656 0.1380 0.7276
14 B 0.9860 0.6739 0.3121



DFT (PBE) results for RbSc3Tl after structural relaxation.

Computed properties:
Fermi-level density of states: 9.0 states/eV per cell
Energy above the lowest structure with this stoichiometry: 0 meV/atom
ΔE_f: 0.58 eV per atom

Cell lengths 5.6254, 5.6254, 5.6254 Å; angles 90.00, 90.00, 90.00 degrees
Fractional positions:
1 Rb 0.0000 0.0000 0.0000
2 Sc 0.0000 0.5000 0.5000
3 Sc 0.5000 0.0000 0.5000
4 Sc 0.5000 0.5000 0.0000
5 Tl 0.5000 0.5000 0.5000